[1]
{"formula": "AcBi3Au8", "functional": "PBE-GGA", "state": "relaxed", "delta_e_f_ev_per_atom": -0.2493, "sg": "P3m1", "m_tot_mub_per_fu": 0.00, "cell": [[-0.337, -5.558, -1.164], [4.650, 2.102, 2.515], [-4.030, -1.595, 8.783]], "species": ["Au", "Au", "Au", "Au", "Au", "Au", "Au", "Au", "Bi", "Bi", "Bi", "Ac"], "fractional_positions": [[0.502, 0.498, 0.753], [0.502, 0.004, 0.753], [0.165, 0.835, 0.251], [0.996, 0.498, 0.753], [0.669, 0.835, 0.251], [0.165, 0.331, 0.251], [0.333, 0.667, 0.003], [0.333, 0.667, 0.503], [0.000, 0.000, 0.955], [0.667, 0.333, 0.055], [0.667, 0.333, 0.408], [0.000, 0.000, 0.565]]}

---

[2]
{"formula": "Ac2Bi6Au3", "functional": "PBE-GGA", "state": "relaxed", "delta_e_f_ev_per_atom": -0.3187, "sg": "P-62m", "m_tot_mub_per_fu": 0.00, "cell": [[4.732, 0.000, 0.000], [0.000, 9.215, 0.000], [0.000, -4.608, 7.981]], "species": ["Bi", "Bi", "Bi", "Bi", "Bi", "Bi", "Au", "Au", "Au", "Ac", "Ac"], "fractional_positions": [[0.500, 0.724, 0.724], [0.000, 0.000, 0.766], [0.500, 0.276, 0.000], [0.000, 0.766, 0.000], [0.000, 0.234, 0.234], [0.500, 0.000, 0.276], [0.500, 0.000, 0.576], [0.500, 0.576, 0.000], [0.500, 0.424, 0.424], [0.000, 0.333, 0.667], [0.000, 0.667, 0.333]]}

---

[3]
{"formula": "AcBi2Au4", "functional": "PBE-GGA", "state": "relaxed", "delta_e_f_ev_per_atom": -0.0328, "sg": "I4/mmm", "m_tot_mub_per_fu": 0.00, "cell": [[-3.118, 1.424, 5.826], [2.508, -6.095, -1.498], [5.522, 3.890, 0.248]], "species": ["Au", "Au", "Au", "Au", "Bi", "Bi", "Ac"], "fractional_positions": [[0.500, 0.726, 0.226], [0.500, 0.274, 0.774], [0.274, 0.500, 0.774], [0.726, 0.500, 0.226], [0.250, 0.750, 0.500], [0.750, 0.250, 0.500], [0.000, 0.000, 0.000]]}

---

[4]
{"formula": "Ac2Bi2Au15", "functional": "PBE-GGA", "state": "relaxed", "delta_e_f_ev_per_atom": -0.3061, "sg": "R-3m", "m_tot_mub_per_fu": 0.00, "cell": [[-5.092, -4.020, 3.798], [3.944, -0.744, 6.357], [-3.131, 5.731, 3.724]], "species": ["Au", "Au", "Au", "Au", "Au", "Au", "Au", "Au", "Au", "Au", "Au", "Au", "Au", "Au", "Au", "Ac", "Ac", "Bi", "Bi"], "fractional_positions": [[0.500, 0.000, 0.000], [0.313, 0.000, 0.687], [0.000, 0.687, 0.313], [0.000, 0.500, 0.000], [0.000, 0.000, 0.500], [0.358, 0.358, 0.835], [0.000, 0.313, 0.687], [0.835, 0.358, 0.358], [0.165, 0.642, 0.642], [0.687, 0.000, 0.313], [0.642, 0.642, 0.165], [0.642, 0.165, 0.642], [0.687, 0.313, 0.000], [0.358, 0.835, 0.358], [0.313, 0.687, 0.000], [0.651, 0.651, 0.651], [0.349, 0.349, 0.349], [0.105, 0.105, 0.105], [0.895, 0.895, 0.895]]}

---

[5]
{"formula": "Ac2BiAu3", "functional": "PBE-GGA", "state": "relaxed", "delta_e_f_ev_per_atom": -0.7471, "sg": "Imm2", "m_tot_mub_per_fu": 0.00, "cell": [[4.333, 0.000, -1.153], [-0.320, 4.229, -1.202], [0.220, 0.431, 9.543]], "species": ["Au", "Au", "Au", "Bi", "Ac", "Ac"], "fractional_positions": [[0.554, 0.554, 0.108], [0.292, 0.792, 0.585], [0.705, 0.705, 0.410], [0.456, 0.956, 0.911], [0.862, 0.362, 0.724], [0.131, 0.131, 0.261]]}

---

[6]
{"formula": "AcBiAu", "functional": "PBE-GGA", "state": "relaxed", "delta_e_f_ev_per_atom": -0.6631, "sg": "Cmcm", "m_tot_mub_per_fu": 0.00, "cell": [[-2.806, -3.421, -2.060], [1.813, -3.013, 2.534], [-7.281, 2.953, 5.015]], "species": ["Bi", "Bi", "Ac", "Ac", "Au", "Au"], "fractional_positions": [[0.750, 0.246, 0.491], [0.250, 0.754, 0.509], [0.250, 0.098, 0.196], [0.750, 0.902, 0.804], [0.750, 0.543, 0.085], [0.250, 0.457, 0.915]]}